HfZr2Ni9 GGA-PBE relaxed; total energy = -84.4 eV for the cell shown; distance to the lowest polymorph of the same formula = 0 meV per atom; ΔH_f (0 K) = -0.441 eV/atom
1.0
3.748 0.000 0.000
0.000 3.748 0.000
0.000 0.000 11.249
Zr Ni Hf
2 9 1
direct
0.000 0.000 0.333
0.000 0.000 0.667
0.500 0.500 0.000
0.500 0.500 0.333
0.500 0.000 0.835
0.000 0.500 0.500
0.000 0.500 0.165
0.500 0.000 0.500
0.500 0.000 0.165
0.000 0.500 0.835
0.500 0.500 0.667
0.000 0.000 0.000